KLiTe2 | PBE | relaxed

a = 3.296 Å, b = 3.867 Å, c = 9.184 Å
α = 90.00°, β = 98.71°, γ = 90.00°
Element x y z (fractional)
K 0.000 0.000 0.000
Li 0.000 0.000 0.500
Te 0.384 0.500 0.719
Te 0.616 0.500 0.281

- Total moment: 0.00 μB/cell
- ΔE_f (raw): -679 meV per atom
- E_tot: -3.0026 eV/atom
- Space group: P2/m (10)
- Offset from the most stable computed form: 114.8 meV/atom
- Density of states at the Fermi level: 0.94 states/eV/cell